! Tb6Ge2PSe3 (PBE, relaxed); values from VASP
&SYSTEM
  ibrav = 0, nat = 12, ntyp = 4
/
ATOMIC_SPECIES
Ge 72.64 Ge.upf
Tb 158.93 Tb.upf
Se 78.96 Se.upf
P 30.97 P.upf
CELL_PARAMETERS angstrom
4.1182 0.0000 0.0000
0.0000 8.2651 0.2777
-2.0591 -2.4022 8.6724
ATOMIC_POSITIONS angstrom
Ge 2.0591 3.9194 5.9753
Ge 0.0000 1.9436 2.9747
Tb 0.0000 1.9122 5.8630
Tb 2.0591 -0.0413 2.8386
Tb 2.0591 3.9061 8.8245
Tb 0.0000 1.9568 0.1255
Tb 0.0000 5.9042 6.1115
Tb 2.0591 3.9508 3.0871
Se 2.0591 4.1326 0.1388
Se 0.0000 6.0951 3.1092
Se 2.0591 -0.2322 5.8409
P 2.0591 0.0000 0.0000
! ΔE_f (raw)	-1.539	eV/atom